A geometry-optimized Ho2ThPd structure. Source: Alexandria via LeMat-Bulk, functional PBE.

Values from the calculation:
Density: 10.54 Mg/m³
Calculated formation energy: -0.422 eV/atom
Distance to the lowest polymorph of the same formula: 0.000 eV per atom

a b c (Å): 3.5550 3.5550 8.3300
angles (deg): 90.00 90.00 90.00
With the nearest neighbours (Å) after each atom.
Space group P4/mmm (No. 123)
Symmetry-distinct sites (fractional):
Ho 0.0000 0.0000 0.2020  4 Pd 3.02, 1 Ho 3.36
Th 0.5000 0.5000 0.5000  8 Ho 3.53, 4 Th 3.56
Pd 0.5000 0.5000 0.0000  8 Ho 3.02